Record 1
Material: NaTaPbI2
Method: DFT, PBEsol
State: optimized geometry

Geometry as CIF:
```
data_NaTaPbI2
_chemical_formula_sum 'Na1 Ta1 Pb1 I2'
_cell_length_a 5.428
_cell_length_b 5.428
_cell_length_c 5.658
_cell_angle_alpha 90.00
_cell_angle_beta 90.00
_cell_angle_gamma 90.00
_space_group_name_H-M_alt 'P 4/m m m'
_space_group_IT_number 123
_space_group_name_Hall '-P 4 2'
loop_
_atom_site_label
_atom_site_type_symbol
_atom_site_fract_x
_atom_site_fract_y
_atom_site_fract_z
Na1 Na 0.000 0.000 0.000
Ta1 Ta 0.000 0.000 0.500
Pb1 Pb 0.500 0.500 0.500
I1 I 0.000 0.500 0.000
```

Record 2
Material: NaPd3I
Method: DFT, PBEsol
State: optimized geometry

Geometry as CIF:
```
data_NaPd3I
_chemical_formula_sum 'Na1 Pd3 I1'
_cell_length_a 4.655
_cell_length_b 4.655
_cell_length_c 4.655
_cell_angle_alpha 90.00
_cell_angle_beta 90.00
_cell_angle_gamma 90.00
_space_group_name_H-M_alt 'P m -3 m'
_space_group_IT_number 221
_space_group_name_Hall '-P 4 2 3'
loop_
_atom_site_label
_atom_site_type_symbol
_atom_site_fract_x
_atom_site_fract_y
_atom_site_fract_z
Na1 Na 0.000 0.000 0.000
Pd1 Pd 0.000 0.000 0.500
I1 I 0.500 0.500 0.500
```

Record 3
Material: Na2PdI
Method: DFT, PBEsol
State: optimized geometry

Geometry as CIF:
```
data_Na2PdI
_chemical_formula_sum 'Na8 Pd4 I4'
_cell_length_a 7.212
_cell_length_b 7.212
_cell_length_c 7.212
_cell_angle_alpha 90.00
_cell_angle_beta 90.00
_cell_angle_gamma 90.00
_space_group_name_H-M_alt 'F m -3 m'
_space_group_IT_number 225
_space_group_name_Hall '-F 4 2 3'
loop_
_atom_site_label
_atom_site_type_symbol
_atom_site_fract_x
_atom_site_fract_y
_atom_site_fract_z
Na1 Na 0.250 0.250 0.250
Pd1 Pd 0.000 0.000 0.000
I1 I 0.000 0.000 0.500
```

Record 4
Material: NaSbPdI2
Method: DFT, PBEsol
State: optimized geometry

Geometry as CIF:
```
data_NaSbPdI2
_chemical_formula_sum 'Na1 Sb1 Pd1 I2'
_cell_length_a 5.680
_cell_length_b 5.680
_cell_length_c 5.041
_cell_angle_alpha 90.00
_cell_angle_beta 90.00
_cell_angle_gamma 90.00
_space_group_name_H-M_alt 'P 4/m m m'
_space_group_IT_number 123
_space_group_name_Hall '-P 4 2'
loop_
_atom_site_label
_atom_site_type_symbol
_atom_site_fract_x
_atom_site_fract_y
_atom_site_fract_z
Na1 Na 0.000 0.000 0.000
Sb1 Sb 0.500 0.500 0.000
Pd1 Pd 0.500 0.500 0.500
I1 I 0.000 0.500 0.500
```

Record 5
Material: NaTePdI2
Method: DFT, PBEsol
State: optimized geometry

Geometry as CIF:
```
data_NaTePdI2
_chemical_formula_sum 'Na1 Te1 Pd1 I2'
_cell_length_a 5.516
_cell_length_b 5.516
_cell_length_c 5.489
_cell_angle_alpha 90.00
_cell_angle_beta 90.00
_cell_angle_gamma 90.00
_space_group_name_H-M_alt 'P 4/m m m'
_space_group_IT_number 123
_space_group_name_Hall '-P 4 2'
loop_
_atom_site_label
_atom_site_type_symbol
_atom_site_fract_x
_atom_site_fract_y
_atom_site_fract_z
Na1 Na 0.000 0.000 0.000
Te1 Te 0.000 0.000 0.500
Pd1 Pd 0.500 0.500 0.500
I1 I 0.000 0.500 0.000
```

Record 6
Material: NaTe2PtI
Method: DFT, PBEsol
State: optimized geometry

Geometry as CIF:
```
data_NaTe2PtI
_chemical_formula_sum 'Na1 Te2 Pt1 I1'
_cell_length_a 5.295
_cell_length_b 5.295
_cell_length_c 5.284
_cell_angle_alpha 90.00
_cell_angle_beta 90.00
_cell_angle_gamma 90.00
_space_group_name_H-M_alt 'P 4/m m m'
_space_group_IT_number 123
_space_group_name_Hall '-P 4 2'
loop_
_atom_site_label
_atom_site_type_symbol
_atom_site_fract_x
_atom_site_fract_y
_atom_site_fract_z
Na1 Na 0.000 0.000 0.000
Te1 Te 0.000 0.500 0.000
Pt1 Pt 0.500 0.500 0.500
I1 I 0.000 0.000 0.500
```

Record 7
Material: RbNaI2
Method: DFT, PBEsol
State: optimized geometry

Geometry as CIF:
```
data_RbNaI2
_chemical_formula_sum 'Rb4 Na4 I8'
_cell_length_a 8.705
_cell_length_b 8.705
_cell_length_c 9.298
_cell_angle_alpha 90.00
_cell_angle_beta 90.00
_cell_angle_gamma 90.00
_space_group_name_H-M_alt 'I -4 2 d'
_space_group_IT_number 122
_space_group_name_Hall 'I -4 2bw'
loop_
_atom_site_label
_atom_site_type_symbol
_atom_site_fract_x
_atom_site_fract_y
_atom_site_fract_z
Rb1 Rb 0.000 0.000 0.000
Na1 Na 0.000 0.000 0.500
I1 I 0.204 0.250 0.625
```

Record 8
Material: Rb2NaI2
Method: DFT, PBEsol
State: optimized geometry

Geometry as CIF:
```
data_Rb2NaI2
_chemical_formula_sum 'Rb4 Na2 I4'
_cell_length_a 6.737
_cell_length_b 6.737
_cell_length_c 13.260
_cell_angle_alpha 90.00
_cell_angle_beta 90.00
_cell_angle_gamma 90.00
_space_group_name_H-M_alt 'I 4/m m m'
_space_group_IT_number 139
_space_group_name_Hall '-I 4 2'
loop_
_atom_site_label
_atom_site_type_symbol
_atom_site_fract_x
_atom_site_fract_y
_atom_site_fract_z
Rb1 Rb 0.000 0.000 0.176
Na1 Na 0.000 0.000 0.500
I1 I 0.000 0.500 0.250
```

Record 9
Material: RbNaTeI2
Method: DFT, PBEsol
State: optimized geometry

Geometry as CIF:
```
data_RbNaTeI2
_chemical_formula_sum 'Rb1 Na1 Te1 I2'
_cell_length_a 6.008
_cell_length_b 6.008
_cell_length_c 5.742
_cell_angle_alpha 90.00
_cell_angle_beta 90.00
_cell_angle_gamma 90.00
_space_group_name_H-M_alt 'P 4/m m m'
_space_group_IT_number 123
_space_group_name_Hall '-P 4 2'
loop_
_atom_site_label
_atom_site_type_symbol
_atom_site_fract_x
_atom_site_fract_y
_atom_site_fract_z
Rb1 Rb 0.000 0.000 0.000
Na1 Na 0.500 0.500 0.500
Te1 Te 0.500 0.500 0.000
I1 I 0.000 0.500 0.500
```

Record 10
Material: NaSbRuI2
Method: DFT, PBEsol
State: optimized geometry

Geometry as CIF:
```
data_NaSbRuI2
_chemical_formula_sum 'Na1 Sb1 Ru1 I2'
_cell_length_a 5.641
_cell_length_b 5.641
_cell_length_c 4.889
_cell_angle_alpha 90.00
_cell_angle_beta 90.00
_cell_angle_gamma 90.00
_space_group_name_H-M_alt 'P 4/m m m'
_space_group_IT_number 123
_space_group_name_Hall '-P 4 2'
loop_
_atom_site_label
_atom_site_type_symbol
_atom_site_fract_x
_atom_site_fract_y
_atom_site_fract_z
Na1 Na 0.000 0.000 0.000
Sb1 Sb 0.500 0.500 0.000
Ru1 Ru 0.500 0.500 0.500
I1 I 0.000 0.500 0.500
```

Record 11
Material: NaTcRu2I
Method: DFT, PBEsol
State: optimized geometry

Geometry as CIF:
```
data_NaTcRu2I
_chemical_formula_sum 'Na1 Tc1 Ru2 I1'
_cell_length_a 4.584
_cell_length_b 4.584
_cell_length_c 5.494
_cell_angle_alpha 90.00
_cell_angle_beta 90.00
_cell_angle_gamma 90.00
_space_group_name_H-M_alt 'P 4/m m m'
_space_group_IT_number 123
_space_group_name_Hall '-P 4 2'
loop_
_atom_site_label
_atom_site_type_symbol
_atom_site_fract_x
_atom_site_fract_y
_atom_site_fract_z
Na1 Na 0.000 0.000 0.000
Tc1 Tc 0.500 0.500 0.500
Ru1 Ru 0.000 0.500 0.500
I1 I 0.500 0.500 0.000
```

Record 12
Material: NaS2I
Method: DFT, PBEsol
State: optimized geometry

Geometry as CIF:
```
data_NaS2I
_chemical_formula_sum 'Na4 S8 I4'
_cell_length_a 6.986
_cell_length_b 6.986
_cell_length_c 6.986
_cell_angle_alpha 90.00
_cell_angle_beta 90.00
_cell_angle_gamma 90.00
_space_group_name_H-M_alt 'F m -3 m'
_space_group_IT_number 225
_space_group_name_Hall '-F 4 2 3'
loop_
_atom_site_label
_atom_site_type_symbol
_atom_site_fract_x
_atom_site_fract_y
_atom_site_fract_z
Na1 Na 0.000 0.000 0.000
S1 S 0.250 0.250 0.250
I1 I 0.000 0.000 0.500
```

Record 13
Material: Na3SI
Method: DFT, PBEsol
State: optimized geometry

Geometry as CIF:
```
data_Na3SI
_chemical_formula_sum 'Na3 S1 I1'
_cell_length_a 5.253
_cell_length_b 5.253
_cell_length_c 5.253
_cell_angle_alpha 90.00
_cell_angle_beta 90.00
_cell_angle_gamma 90.00
_space_group_name_H-M_alt 'P m -3 m'
_space_group_IT_number 221
_space_group_name_Hall '-P 4 2 3'
loop_
_atom_site_label
_atom_site_type_symbol
_atom_site_fract_x
_atom_site_fract_y
_atom_site_fract_z
Na1 Na 0.000 0.000 0.500
S1 S 0.000 0.000 0.000
I1 I 0.500 0.500 0.500
```

Record 14
Material: NaSiSbI2
Method: DFT, PBEsol
State: optimized geometry

Geometry as CIF:
```
data_NaSiSbI2
_chemical_formula_sum 'Na1 Si1 Sb1 I2'
_cell_length_a 5.694
_cell_length_b 5.694
_cell_length_c 5.223
_cell_angle_alpha 90.00
_cell_angle_beta 90.00
_cell_angle_gamma 90.00
_space_group_name_H-M_alt 'P 4/m m m'
_space_group_IT_number 123
_space_group_name_Hall '-P 4 2'
loop_
_atom_site_label
_atom_site_type_symbol
_atom_site_fract_x
_atom_site_fract_y
_atom_site_fract_z
Na1 Na 0.000 0.000 0.000
Si1 Si 0.500 0.500 0.500
Sb1 Sb 0.500 0.500 0.000
I1 I 0.000 0.500 0.500
```

Record 15
Material: NaTaSb2I
Method: DFT, PBEsol
State: optimized geometry

Geometry as CIF:
```
data_NaTaSb2I
_chemical_formula_sum 'Na1 Ta1 Sb2 I1'
_cell_length_a 5.168
_cell_length_b 5.168
_cell_length_c 5.349
_cell_angle_alpha 90.00
_cell_angle_beta 90.00
_cell_angle_gamma 90.00
_space_group_name_H-M_alt 'P 4/m m m'
_space_group_IT_number 123
_space_group_name_Hall '-P 4 2'
loop_
_atom_site_label
_atom_site_type_symbol
_atom_site_fract_x
_atom_site_fract_y
_atom_site_fract_z
Na1 Na 0.000 0.000 0.000
Ta1 Ta 0.500 0.500 0.500
Sb1 Sb 0.000 0.500 0.000
I1 I 0.000 0.000 0.500
```

Record 16
Material: NaTlSb2I
Method: DFT, PBEsol
State: optimized geometry

Geometry as CIF:
```
data_NaTlSb2I
_chemical_formula_sum 'Na1 Tl1 Sb2 I1'
_cell_length_a 5.623
_cell_length_b 5.623
_cell_length_c 6.505
_cell_angle_alpha 90.00
_cell_angle_beta 90.00
_cell_angle_gamma 90.00
_space_group_name_H-M_alt 'P 4/m m m'
_space_group_IT_number 123
_space_group_name_Hall '-P 4 2'
loop_
_atom_site_label
_atom_site_type_symbol
_atom_site_fract_x
_atom_site_fract_y
_atom_site_fract_z
Na1 Na 0.000 0.000 0.000
Tl1 Tl 0.500 0.500 0.500
Sb1 Sb 0.000 0.500 0.500
I1 I 0.500 0.500 0.000
```

Record 17
Material: NaSbWI2
Method: DFT, PBEsol
State: optimized geometry

Geometry as CIF:
```
data_NaSbWI2
_chemical_formula_sum 'Na1 Sb1 W1 I2'
_cell_length_a 5.704
_cell_length_b 5.704
_cell_length_c 5.163
_cell_angle_alpha 90.00
_cell_angle_beta 90.00
_cell_angle_gamma 90.00
_space_group_name_H-M_alt 'P 4/m m m'
_space_group_IT_number 123
_space_group_name_Hall '-P 4 2'
loop_
_atom_site_label
_atom_site_type_symbol
_atom_site_fract_x
_atom_site_fract_y
_atom_site_fract_z
Na1 Na 0.000 0.000 0.000
Sb1 Sb 0.500 0.500 0.000
W1 W 0.500 0.500 0.500
I1 I 0.000 0.500 0.500
```

Record 18
Material: NaZrSb2I
Method: DFT, PBEsol
State: optimized geometry

Geometry as CIF:
```
data_NaZrSb2I
_chemical_formula_sum 'Na1 Zr1 Sb2 I1'
_cell_length_a 5.192
_cell_length_b 5.192
_cell_length_c 5.434
_cell_angle_alpha 90.00
_cell_angle_beta 90.00
_cell_angle_gamma 90.00
_space_group_name_H-M_alt 'P 4/m m m'
_space_group_IT_number 123
_space_group_name_Hall '-P 4 2'
loop_
_atom_site_label
_atom_site_type_symbol
_atom_site_fract_x
_atom_site_fract_y
_atom_site_fract_z
Na1 Na 0.000 0.000 0.000
Zr1 Zr 0.500 0.500 0.500
Sb1 Sb 0.000 0.500 0.000
I1 I 0.000 0.000 0.500
```

Record 19
Material: Na3ScI
Method: DFT, PBEsol
State: optimized geometry

Geometry as CIF:
```
data_Na3ScI
_chemical_formula_sum 'Na3 Sc1 I1'
_cell_length_a 6.304
_cell_length_b 6.304
_cell_length_c 6.304
_cell_angle_alpha 90.00
_cell_angle_beta 90.00
_cell_angle_gamma 90.00
_space_group_name_H-M_alt 'P m -3 m'
_space_group_IT_number 221
_space_group_name_Hall '-P 4 2 3'
loop_
_atom_site_label
_atom_site_type_symbol
_atom_site_fract_x
_atom_site_fract_y
_atom_site_fract_z
Na1 Na 0.000 0.000 0.500
Sc1 Sc 0.000 0.000 0.000
I1 I 0.500 0.500 0.500
```

Record 20
Material: NaSe2I
Method: DFT, PBEsol
State: optimized geometry

Geometry as CIF:
```
data_NaSe2I
_chemical_formula_sum 'Na3 Se6 I3'
_cell_length_a 5.2665
_cell_length_b 5.2665
_cell_length_c 15.2909
_cell_angle_alpha 90.00
_cell_angle_beta 90.00
_cell_angle_gamma 120.00
_space_group_name_H-M_alt 'R -3 m'
_space_group_IT_number 166
_space_group_name_Hall '-R 3 2"'
loop_
_atom_site_label
_atom_site_type_symbol
_atom_site_fract_x
_atom_site_fract_y
_atom_site_fract_z
Na1 Na 0.0000 0.0000 0.0000
Se1 Se 0.0000 0.0000 0.1813
I1 I 0.0000 0.0000 0.5000
```

Uncorrected formation energy readings, ordered: 1.148 0.954 -0.192 -0.184 0.674 1.132 -1.283 -0.874 -0.560 0.014 1.231 0.266 -1.093 0.005 1.465 0.330 0.352 0.803 0.588 -0.093 eV per atom
Calculated total energy readings, ordered: -15.75 -16.27 -45.18 -16.37 -11.05 -11.52 -44.37 -22.70 -12.29 -19.59 -28.62 -43.49 -15.81 -15.21 -17.51 -13.26 -21.54 -17.36 -9.63 -33.72 eV per cell
Total magnetic moment readings, ordered: 0.6541 0.0000 0.0000 0.1150 0.0167 0.0002 0.0001 0.1296 0.3852 0.0000 0.2460 0.0005 0.0000 0.1580 0.4105 0.2670 0.3595 0.1592 0.5298 0.0000 μB/atom